Here is crystalline Mn2BeHgF at its relaxed geometry from Alexandria. Energies are from GGA+U.

Lattice parameters (Å, degrees): 4.7433 4.4629 4.7433 90.00 90.00 90.00
With the nearest neighbours (Å) after each atom.
Fractional positions:
Hg  0.0000  0.5000  0.0000  2 Be 2.23
Mn  0.0000  0.0000  0.5000  2 Be 2.37
F  0.5000  0.5000  0.5000  8 Mn 3.26, 4 Hg 3.35
Be  0.0000  0.0000  0.0000  2 Hg 2.23, 4 Mn 2.37
Mn  0.5000  0.0000  0.0000  2 Be 2.37

Properties
Relative energy among the computed polymorphs: 0.00 kcal/mol of atoms
Space group: P4/mmm, No. 123
Calculated density: 5.6 Mg/m³
M_tot: 9.5 μB/f.u.